# Tb4PmSm2Er | the Alexandria database | PBE | optimized geometry
# ΔE_f ... 418.9 meV per atom
# Total magnetic moment ... 3.02 μB/f.u.
# DOS at the Fermi energy ... 2.26 states/eV per atom
# Energy ... -4.240 eV/atom
data_Tb4PmSm2Er
_symmetry_space_group_name_H-M 'C 1 2/c 1'
_symmetry_Int_Tables_number 15
_cell_length_a 13.660
_cell_length_b 13.287
_cell_length_c 6.833
_cell_angle_alpha 90.00
_cell_angle_beta 120.00
_cell_angle_gamma 90.00
loop_
_symmetry_equiv_pos_as_xyz
'x,y,z'
'-x,-y,-z'
'-x,y,-z+1/2'
'x,-y,z+1/2'
'x+1/2,y+1/2,z'
'-x+1/2,-y+1/2,-z'
'-x+1/2,y+1/2,-z+1/2'
'x+1/2,-y+1/2,z+1/2'
loop_
_atom_site_label
_atom_site_fract_x
_atom_site_fract_y
_atom_site_fract_z
_atom_site_occupancy
Tb1 0.000 0.246 0.000 1
Tb2 0.247 0.000 0.495 1
Pm1 0.250 0.250 0.000 1
Sm1 0.000 0.500 0.000 1
Sm2 0.250 0.250 0.500 1
Er1 0.000 0.000 0.000 1